Material: MnCr3Te2P6O24
Method: DFT, GGA+U
State: optimized geometry

```
data_MnCr3Te2P6O24
_cell_length_a 8.6873
_cell_length_b 8.6873
_cell_length_c 21.8779
_cell_angle_alpha 90.00
_cell_angle_beta 90.00
_cell_angle_gamma 120.00
_space_group_name_H-M_alt 'R 3'
_space_group_IT_number 146
_space_group_name_Hall 'R 3'
loop_
_atom_site_label
_atom_site_type_symbol
_atom_site_fract_x
_atom_site_fract_y
_atom_site_fract_z
Mn1 Mn 0.0000 0.0000 0.0000
Cr1 Cr 0.0000 0.0000 0.1959
Cr2 Cr 0.0000 0.0000 0.4912
Cr3 Cr 0.0000 0.0000 0.6992
Te1 Te 0.0000 0.0000 0.3479
Te2 Te 0.0000 0.0000 0.8534
P1 P 0.0361 0.3688 0.7605
P2 P 0.0473 0.6709 0.2582
O1 O 0.9995 0.8008 0.6513
O2 O 0.0135 0.2249 0.0329
O3 O 0.0132 0.8319 0.2602
O4 O 0.0155 0.1778 0.7644
O5 O 0.1386 0.4667 0.8175
O6 O 0.1404 0.6711 0.2001
O7 O 0.1637 0.4952 0.0954
O8 O 0.1713 0.6897 0.5859
```

The value obtained for the volume is 13.2 A^3/atom. The value obtained for the magnetic moment is 45.00 Bohr magnetons per cell. For the calculated total energy, the calculation gives -0.5212 Ry per atom.